Compound: NaAl6Fe3Si6B3H3O30F
Source: Alexandria via LeMat-Bulk
Functional: GGA+U
Structure: optimized geometry

## Properties
The value obtained for the total energy is -7.29 eV/atom. As for the symmetry: R3m.

Cell: 9.5906 9.5906 9.5906 Å, 113.87 113.87 113.87°
With the nearest neighbours (Å) after each atom.
Fractional positions:
Na 0.0000 0.0000 0.0000  9 O 2.54-2.79, 1 F 2.60
Al 0.1374 0.3610 0.6940  6 O 1.88-1.99
Al 0.1374 0.6940 0.3610  6 O 1.88-1.99
Al 0.3610 0.1374 0.6940  6 O 1.88-1.99
Al 0.3610 0.6940 0.1374  6 O 1.88-1.99
Al 0.6940 0.1374 0.3610  6 O 1.88-1.99
Al 0.6940 0.3610 0.1374  6 O 1.88-1.99
Fe 0.3652 0.3652 0.5329  4 O 2.04-2.13, 1 F 2.23
Fe 0.3652 0.5329 0.3652  4 O 2.04-2.13, 1 F 2.23
Fe 0.5329 0.3652 0.3652  4 O 2.04-2.13, 1 F 2.23
Si 0.5951 0.7842 0.9778  4 O 1.62-1.66
Si 0.5951 0.9778 0.7842  4 O 1.62-1.66
Si 0.7842 0.5951 0.9778  4 O 1.62-1.66
Si 0.7842 0.9778 0.5951  4 O 1.62-1.66
Si 0.9778 0.5951 0.7842  4 O 1.62-1.66
Si 0.9778 0.7842 0.5951  4 O 1.62-1.66
B 0.0146 0.3479 0.3479  3 O 1.37-1.39
B 0.3479 0.0146 0.3479  3 O 1.37-1.39
B 0.3479 0.3479 0.0146  3 O 1.37-1.39
H 0.0320 0.0320 0.4293  1 O 0.98
H 0.0320 0.4293 0.0320  1 O 0.98
H 0.4293 0.0320 0.0320  1 O 0.98
O 0.0644 0.7827 0.7827  2 Si 1.66
O 0.1318 0.3181 0.3181  1 B 1.37
O 0.1517 0.5799 0.8670  1 Si 1.63
O 0.1517 0.8670 0.5799  1 Si 1.63
O 0.1638 0.1638 0.5688  1 H 0.98
O 0.1638 0.5688 0.1638  1 H 0.98
O 0.2897 0.4389 0.9557  1 B 1.39
O 0.2897 0.9557 0.4389  1 B 1.39
O 0.3181 0.1318 0.3181  1 B 1.37
O 0.3181 0.3181 0.1318  1 B 1.37
O 0.3744 0.5551 0.7585  1 Si 1.62
O 0.3744 0.7585 0.5551  1 Si 1.62
O 0.4389 0.2897 0.9557  1 B 1.39
O 0.4389 0.9557 0.2897  1 B 1.39
O 0.5551 0.3744 0.7585  1 Si 1.62
O 0.5551 0.7585 0.3744  1 Si 1.62
O 0.5688 0.1638 0.1638  1 H 0.98
O 0.5799 0.1517 0.8670  1 Si 1.63
O 0.5799 0.8670 0.1517  1 Si 1.63
O 0.6721 0.9516 0.9516  2 Si 1.64
O 0.7585 0.3744 0.5551  1 Si 1.62
O 0.7585 0.5551 0.3744  1 Si 1.62
O 0.7827 0.0644 0.7827  2 Si 1.66
O 0.7827 0.7827 0.0644  2 Si 1.66
O 0.8670 0.1517 0.5799  1 Si 1.63
O 0.8670 0.5799 0.1517  1 Si 1.63
O 0.9516 0.6721 0.9516  2 Si 1.64
O 0.9516 0.9516 0.6721  2 Si 1.64
O 0.9557 0.2897 0.4389  1 B 1.39
O 0.9557 0.4389 0.2897  1 B 1.39
F 0.6419 0.6419 0.6419  3 Fe 2.23